# Ni2IrRu

Ni2IrRu after structural relaxation (PBE, Alexandria via LeMat-Bulk).

The structure in POSCAR format:
```
Ni2IrRu
1.0
4.4816 -0.0193 0.0000
1.3859 4.2620 0.0000
-2.9337 -2.1213 2.6416
Ni Ir Ru
2 1 1
Direct
0.0000 0.0000 0.0000
0.5000 0.5000 0.0000
0.7500 0.2500 0.5000
0.2500 0.7500 0.5000
```

Calculated values
The calculation puts the total moment at 0.00 μB per atom. Its space group is I4/mmm, No. 139. As for the total energy: -7.33 eV/atom. The polymorph energy (0 for the lowest one) comes out at 92 meV/atom.



# NiIr6Ru2

NiIr6Ru2 after structural relaxation (PBE, Alexandria via LeMat-Bulk).

The structure in POSCAR format:
```
NiIr6Ru2
1.0
4.2303 0.0000 0.0000
-2.1151 4.1698 -0.3693
0.0000 -0.2376 7.5491
Ir Ni Ru
6 1 2
Direct
0.9217 0.8435 0.8403
0.7706 0.5412 0.2394
0.2294 0.4588 0.7606
0.6689 0.3378 0.5556
0.0783 0.1565 0.1597
0.3311 0.6622 0.4444
0.0000 0.0000 0.5000
0.3807 0.7614 0.0890
0.6193 0.2386 0.9110
```

Calculated values
The calculation puts the total moment at 0.00 μB per atom. Its space group is C2/m, No. 12. As for the total energy: -8.37 eV/atom. The polymorph energy (0 for the lowest one) comes out at 250 meV/atom.



# Ni2IrRu

Ni2IrRu after structural relaxation (PBE, Alexandria via LeMat-Bulk).

The structure in POSCAR format:
```
Ni2IrRu
1.0
-3.6250 0.1915 -2.6216
0.1435 -4.0733 1.8542
-1.4337 0.8812 2.0468
Ni Ir Ru
2 1 1
Direct
0.5000 0.5000 0.0000
0.0000 0.0000 0.0000
0.0000 0.5000 0.5000
0.5000 0.0000 0.5000
```

Calculated values
The calculation puts the total moment at 0.00 μB per atom. Its space group is Cmmm, No. 65. As for the total energy: -7.32 eV/atom. The polymorph energy (0 for the lowest one) comes out at 102 meV/atom.



# NiIr6Ru3

NiIr6Ru3 after structural relaxation (PBE, Alexandria via LeMat-Bulk).

The structure in POSCAR format:
```
NiIr6Ru3
1.0
-0.8465 2.4177 -0.8936
-8.2932 -4.1438 -3.3551
-2.9729 2.7181 10.1705
Ir Ni Ru
12 2 6
Direct
0.2500 0.5094 0.3083
0.2500 0.2590 0.6986
0.2500 0.1921 0.9306
0.7500 0.3456 0.1277
0.7500 0.1203 0.4825
0.7500 0.8079 0.0694
0.7500 0.7824 0.7109
0.2500 0.2176 0.2891
0.2500 0.6544 0.8723
0.7500 0.7410 0.3014
0.7500 0.4906 0.6917
0.2500 0.8797 0.5175
0.7500 0.0410 0.7235
0.2500 0.9590 0.2765
0.7500 0.0746 0.0947
0.2500 0.5785 0.0925
0.2500 0.9254 0.9053
0.2500 0.3811 0.4978
0.7500 0.4215 0.9075
0.7500 0.6189 0.5022
```

Calculated values
The calculation puts the total moment at 0.00 μB per atom. Its space group is P2_1/m, No. 11. As for the total energy: -8.54 eV/atom.



# NiIrRu

NiIrRu after structural relaxation (PBE, Alexandria via LeMat-Bulk).

The structure in POSCAR format:
```
NiIrRu
1.0
-1.8226 1.8510 -0.6728
0.0168 -1.0276 2.4788
4.0059 4.6325 1.8932
Ni Ir Ru
1 1 1
Direct
0.6667 0.3333 0.3361
0.0000 0.0000 0.0034
0.3333 0.6667 0.6606
```

Calculated values
The calculation puts the total moment at 0.02 μB per atom. Its space group is P3m1, No. 156. As for the total energy: -7.91 eV/atom. The polymorph energy (0 for the lowest one) comes out at 77 meV/atom.



# Ni2IrRu2

Ni2IrRu2 after structural relaxation (PBE, Alexandria via LeMat-Bulk).

The structure in POSCAR format:
```
Ni2IrRu2
1.0
-3.6320 0.9552 -5.7423
0.8621 -6.6055 -1.6441
-2.3265 -0.6433 1.3645
Ru Ni Ir
4 4 2
Direct
0.1734 0.6734 0.5000
0.3266 0.1734 0.5000
0.8266 0.3266 0.5000
0.6734 0.8266 0.5000
0.8762 0.6238 0.0000
0.1238 0.3762 0.0000
0.6238 0.1238 0.0000
0.3762 0.8762 0.0000
0.5000 0.5000 0.0000
0.0000 0.0000 0.0000
```

Calculated values
The calculation puts the total moment at 0.00 μB per atom. Its space group is P4/mbm, No. 127. As for the total energy: -7.49 eV/atom. The polymorph energy (0 for the lowest one) comes out at 265 meV/atom.